HoCrBi2O6 | PBE with a Hubbard U | relaxed

## Properties
theoretical density: 8.92 Mg/m³
Fermi-level density of states: 0.0 states/eV/f.u.
DFT total energy: -6.922 eV per atom
space group: P2_1/c (14)

a b c (Å): 5.5879 5.9840 9.8589
angles (deg): 90.00 124.40 90.00
Element x y z (fractional)
Ho 0.0000 0.0000 0.0000
Ho 0.0000 0.5000 0.5000
Cr 0.5000 0.0000 0.5000
Cr 0.5000 0.5000 0.0000
Bi 0.2328 0.0451 0.7440
Bi 0.2328 0.4549 0.2440
Bi 0.7672 0.5451 0.7560
Bi 0.7672 0.9549 0.2560
O 0.1421 0.1757 0.4503
O 0.1421 0.3243 0.9503
O 0.2690 0.7049 0.4388
O 0.2690 0.7951 0.9388
O 0.3829 0.0437 0.2638
O 0.3829 0.4563 0.7638
O 0.6171 0.5437 0.2362
O 0.6171 0.9563 0.7362
O 0.7310 0.2049 0.0612
O 0.7310 0.2951 0.5612
O 0.8579 0.6757 0.0497
O 0.8579 0.8243 0.5497